Record 1
VASP calculation (PBE-GGA) on a relaxed CsAgNO crystal.

a b c (Å): 5.8315 5.8343 9.0095
angles (deg): 90.00 90.00 90.00
Atoms (fractional coordinates):
Ag1 0.9898 0.0056 0.0806
Ag2 0.4898 0.4944 0.0806
Ag3 0.9898 0.5056 0.9194
Ag4 0.4898 0.9944 0.9194
Cs1 0.9869 0.5075 0.3462
Cs2 0.4869 0.9925 0.3462
Cs3 0.9869 0.0075 0.6538
Cs4 0.4869 0.4925 0.6538
N1 0.7392 0.7434 0.0047
N2 0.2392 0.7566 0.0047
N3 0.7392 0.2434 0.9953
N4 0.2392 0.2566 0.9953
O1 0.9864 0.0094 0.3095
O2 0.4864 0.4906 0.3095
O3 0.9864 0.5094 0.6905
O4 0.4864 0.9906 0.6905

---

Record 2
VASP calculation (PBE-GGA) on a relaxed CsNaAg crystal.

a b c (Å): 5.8888 5.8888 5.8888
angles (deg): 60.00 60.00 60.00
Atoms (fractional coordinates):
Ag1 0.0000 0.0000 0.0000
Cs1 0.2500 0.2500 0.2500
Na1 0.7500 0.7500 0.7500

---

Record 3
VASP calculation (PBE-GGA) on a relaxed Cs3NaAg2P2 crystal.

a b c (Å): 6.5660 6.1483 6.8468
angles (deg): 90.00 103.33 90.00
Atoms (fractional coordinates):
Ag1 0.5166 0.2469 0.5171
Ag2 0.5166 0.7531 0.5171
Cs1 0.6946 0.5000 0.0258
Cs2 0.9779 0.0000 0.3151
Cs3 0.3039 0.0000 0.9483
Na1 0.9687 0.5000 0.6101
P1 0.2562 0.5000 0.3288
P2 0.7656 0.0000 0.7378

---

Record 4
VASP calculation (PBE-GGA) on a relaxed CsNbAg crystal.

a b c (Å): 5.5888 5.5888 5.5888
angles (deg): 60.00 60.00 60.00
Atoms (fractional coordinates):
Ag1 0.2500 0.2500 0.2500
Cs1 0.0000 0.0000 0.0000
Nb1 0.7500 0.7500 0.7500

---

Record 5
VASP calculation (PBE-GGA) on a relaxed CsRbNbAg2Se4 crystal.

a b c (Å): 6.2327 6.2209 7.7740
angles (deg): 90.00 112.19 90.00
Site moments in Bohr magnetons follow the coordinates.
Atoms (fractional coordinates):
Ag1 0.0000 0.0009 0.5000  0.01
Ag2 0.5000 0.4987 0.5000  0.01
Cs1 0.0000 0.2671 0.0000  0.01
Nb1 0.5000 0.9976 0.5000  0.65
Rb1 0.5000 0.7421 0.0000  0.01
Se1 0.6209 0.2226 0.2837  0.01
Se2 0.1730 0.7742 0.2851  0.01
Se3 0.8270 0.7742 0.7149  0.01
Se4 0.3791 0.2226 0.7163  0.01

---

Record 6
VASP calculation (PBE-GGA) on a relaxed CsNbAgS3 crystal.

a b c (Å): 8.1201 8.1201 9.9955
angles (deg): 90.00 90.00 26.54
Site moments in Bohr magnetons follow the coordinates.
Atoms (fractional coordinates):
Ag1 0.4536 0.4536 0.2500  0.01
Ag2 0.5464 0.5464 0.7500  0.01
Cs1 0.7462 0.7462 0.2500  0.00
Cs2 0.2538 0.2538 0.7500  0.00
Nb1 0.0000 0.0000 0.0000  0.64
Nb2 0.0000 0.0000 0.5000  0.63
S1 0.3898 0.3898 0.0286  -0.01
S2 0.0598 0.0598 0.2500  -0.01
S3 0.3898 0.3898 0.4714  -0.01
S4 0.6102 0.6102 0.5286  -0.01
S5 0.9402 0.9402 0.7500  -0.01
S6 0.6102 0.6102 0.9714  -0.01

---

Record 7
VASP calculation (PBE-GGA) on a relaxed Cs2NbAg2S4 crystal.

a b c (Å): 7.7881 7.7881 6.0743
angles (deg): 90.00 90.00 133.91
Site moments in Bohr magnetons follow the coordinates.
Atoms (fractional coordinates):
Ag1 0.5000 0.5000 0.0000  0.01
Ag2 0.0000 0.0000 0.5000  0.01
Cs1 0.5000 0.0000 0.2634  0.01
Cs2 0.0000 0.5000 0.7366  0.01
Nb1 0.0000 0.0000 0.0000  0.61
S1 0.1180 0.3210 0.2189  0.02
S2 0.8820 0.6790 0.2189  0.02
S3 0.3210 0.1180 0.7811  0.02
S4 0.6790 0.8820 0.7811  0.02

---

Record 8
VASP calculation (PBE-GGA) on a relaxed CsNbAg2Se4 crystal.

a b c (Å): 8.2248 10.4329 10.4329
angles (deg): 145.73 90.00 90.00
Atoms (fractional coordinates):
Ag1 0.0000 0.0782 0.0782
Ag2 0.5000 0.0782 0.0782
Ag3 0.2500 0.7324 0.5010
Ag4 0.7500 0.5010 0.7324
Cs1 0.7500 0.5370 0.1772
Cs2 0.2500 0.1772 0.5370
Nb1 0.2500 0.2293 0.0031
Nb2 0.7500 0.0031 0.2293
Se1 0.5023 0.7720 0.0097
Se2 0.9977 0.7720 0.0097
Se3 0.2500 0.5492 0.1204
Se4 0.2500 0.3615 0.3396
Se5 0.7500 0.3396 0.3615
Se6 0.7500 0.1204 0.5492
Se7 0.0023 0.0097 0.7720
Se8 0.4977 0.0097 0.7720

---

Record 9
VASP calculation (PBE-GGA) on a relaxed Cs2NbAgSe4 crystal.

a b c (Å): 6.1585 7.9585 13.1382
angles (deg): 95.20 76.45 112.76
Atoms (fractional coordinates):
Ag1 0.6250 0.7500 0.2500
Ag2 0.3750 0.2500 0.7500
Cs1 0.6951 0.2500 0.1097
Cs2 0.0549 0.2500 0.3903
Cs3 0.9451 0.7500 0.6097
Cs4 0.3049 0.7500 0.8903
Nb1 0.1250 0.7500 0.2500
Nb2 0.8750 0.2500 0.7500
Se1 0.3026 0.5535 0.1382
Se2 0.0592 0.9465 0.1382
Se3 0.7509 0.5535 0.3618
Se4 0.3873 0.9465 0.3618
Se5 0.6127 0.0535 0.6382
Se6 0.2491 0.4465 0.6382
Se7 0.9408 0.0535 0.8618
Se8 0.6974 0.4465 0.8618

---

Record 10
VASP calculation (PBE-GGA) on a relaxed CsNbAgSe3 crystal.

a b c (Å): 8.4007 8.4007 10.3722
angles (deg): 90.00 90.00 153.34
Site moments in Bohr magnetons follow the coordinates.
Atoms (fractional coordinates):
Ag1 0.4578 0.5422 0.2500  0.00
Ag2 0.5422 0.4578 0.7500  0.00
Cs1 0.7534 0.2466 0.2500  0.00
Cs2 0.2466 0.7534 0.7500  0.00
Nb1 0.0000 0.0000 0.0000  0.78
Nb2 0.0000 0.0000 0.5000  0.78
Se1 0.3872 0.6128 0.0300  -0.01
Se2 0.0648 0.9352 0.2500  -0.03
Se3 0.3872 0.6128 0.4700  -0.01
Se4 0.6128 0.3872 0.5300  -0.01
Se5 0.9352 0.0648 0.7500  -0.03
Se6 0.6128 0.3872 0.9700  -0.01

---

Record 11
VASP calculation (PBE-GGA) on a relaxed CsNbAgTe2Se crystal.

a b c (Å): 8.8197 8.8197 10.6292
angles (deg): 90.00 90.00 153.37
Site moments in Bohr magnetons follow the coordinates.
Atoms (fractional coordinates):
Ag1 0.4614 0.5386 0.2500  -0.01
Ag2 0.5386 0.4614 0.7500  -0.01
Cs1 0.7484 0.2516 0.2500  0.00
Cs2 0.2516 0.7484 0.7500  0.00
Nb1 0.0000 0.0000 0.0000  0.78
Nb2 0.0000 0.0000 0.5000  0.78
Se1 0.0577 0.9423 0.2500  -0.03
Se2 0.9423 0.0577 0.7500  -0.03
Te1 0.3828 0.6173 0.0297  -0.03
Te2 0.3828 0.6173 0.4703  -0.03
Te3 0.6173 0.3828 0.5297  -0.03
Te4 0.6173 0.3828 0.9703  -0.03

---

Record 12
VASP calculation (PBE-GGA) on a relaxed CsNbAgTe3 crystal.

a b c (Å): 13.5050 4.0543 14.4506
angles (deg): 90.00 90.00 90.00
Site moments in Bohr magnetons follow the coordinates.
Atoms (fractional coordinates):
Ag1 0.2587 0.0000 0.1767  0.01
Ag2 0.7587 0.5000 0.3233  0.01
Ag3 0.2413 0.0000 0.6767  0.01
Ag4 0.7413 0.5000 0.8233  0.01
Cs1 0.9662 0.0000 0.1794  0.00
Cs2 0.4662 0.5000 0.3206  0.00
Cs3 0.5338 0.0000 0.6794  0.00
Cs4 0.0338 0.5000 0.8206  0.00
Nb1 0.6572 0.0000 0.0261  0.79
Nb2 0.1572 0.5000 0.4739  0.78
Nb3 0.8428 0.0000 0.5261  0.78
Nb4 0.3428 0.5000 0.9739  0.79
Te1 0.8043 0.5000 0.0078  -0.02
Te2 0.4444 0.0000 0.0810  -0.03
Te3 0.6795 0.0000 0.2144  0.00
Te4 0.1795 0.5000 0.2856  0.00
Te5 0.9444 0.5000 0.4190  -0.03
Te6 0.3043 0.0000 0.4922  -0.02
Te7 0.6957 0.5000 0.5078  -0.02
Te8 0.0556 0.0000 0.5810  -0.03
Te9 0.8205 0.0000 0.7144  0.00
Te10 0.3205 0.5000 0.7856  0.00
Te11 0.5556 0.5000 0.9190  -0.03
Te12 0.1957 0.0000 0.9922  -0.02

---

Record 13
VASP calculation (PBE-GGA) on a relaxed CsNbAgTe3 crystal.

a b c (Å): 8.9301 8.9301 10.9989
angles (deg): 90.00 90.00 153.66
Site moments in Bohr magnetons follow the coordinates.
Atoms (fractional coordinates):
Ag1 0.9585 0.0415 0.2500  0.00
Ag2 0.0415 0.9585 0.7500  0.00
Cs1 0.2575 0.7425 0.2500  0.00
Cs2 0.7425 0.2575 0.7500  0.00
Nb1 0.5000 0.5000 0.0000  0.82
Nb2 0.5000 0.5000 0.5000  0.82
Te1 0.8850 0.1150 0.0323  -0.03
Te2 0.5670 0.4330 0.2500  -0.04
Te3 0.8850 0.1150 0.4677  -0.03
Te4 0.1150 0.8850 0.5323  -0.03
Te5 0.4330 0.5670 0.7500  -0.04
Te6 0.1150 0.8850 0.9677  -0.03

---

Record 14
VASP calculation (PBE-GGA) on a relaxed CsNdAg3Se4 crystal.

a b c (Å): 6.8672 6.8672 6.8672
angles (deg): 90.00 90.00 90.00
Atoms (fractional coordinates):
Ag1 0.5000 0.5000 0.0000
Ag2 0.5000 0.0000 0.5000
Ag3 0.0000 0.5000 0.5000
Cs1 0.0000 0.0000 0.0000
Nd1 0.5000 0.5000 0.5000
Se1 0.2719 0.2719 0.2719
Se2 0.7281 0.7281 0.2719
Se3 0.7281 0.2719 0.7281
Se4 0.2719 0.7281 0.7281

---

Record 15
VASP calculation (PBE-GGA) on a relaxed CsNdAgSe3 crystal.

a b c (Å): 8.3566 8.3566 11.1562
angles (deg): 90.00 90.00 150.32
Atoms (fractional coordinates):
Ag1 0.4652 0.5348 0.2500
Ag2 0.5348 0.4652 0.7500
Cs1 0.7468 0.2532 0.2500
Cs2 0.2532 0.7468 0.7500
Nd1 0.0000 0.0000 0.0000
Nd2 0.0000 0.0000 0.5000
Se1 0.3767 0.6233 0.0519
Se2 0.0648 0.9352 0.2500
Se3 0.3767 0.6233 0.4481
Se4 0.6233 0.3767 0.5519
Se5 0.9352 0.0648 0.7500
Se6 0.6233 0.3767 0.9481

---

Record 16
VASP calculation (PBE-GGA) on a relaxed CsNdAg3Te4 crystal.

a b c (Å): 7.2524 7.2524 7.2524
angles (deg): 90.00 90.00 90.00
Atoms (fractional coordinates):
Ag1 0.5000 0.5000 0.0000
Ag2 0.5000 0.0000 0.5000
Ag3 0.0000 0.5000 0.5000
Cs1 0.0000 0.0000 0.0000
Nd1 0.5000 0.5000 0.5000
Te1 0.2695 0.2695 0.2695
Te2 0.7305 0.7305 0.2695
Te3 0.7305 0.2695 0.7305
Te4 0.2695 0.7305 0.7305

---

Record 17
VASP calculation (PBE-GGA) on a relaxed CsNiAg crystal.

a b c (Å): 5.2076 5.2076 5.2076
angles (deg): 60.00 60.00 60.00
Atoms (fractional coordinates):
Ag1 0.0000 0.0000 0.0000
Cs1 0.2500 0.2500 0.2500
Ni1 0.7500 0.7500 0.7500

---

Record 18
VASP calculation (PBE-GGA) on a relaxed CsNiAg crystal.

a b c (Å): 5.0307 5.0307 5.0307
angles (deg): 60.00 60.00 60.00
Atoms (fractional coordinates):
Ag1 0.2500 0.2500 0.2500
Cs1 0.7500 0.7500 0.7500
Ni1 0.0000 0.0000 0.0000

---

Record 19
VASP calculation (PBE-GGA) on a relaxed CsNiAgSe2S crystal.

a b c (Å): 8.1425 8.1425 10.4889
angles (deg): 90.00 90.00 153.48
Atoms (fractional coordinates):
Ag1 0.0483 0.9517 0.2500
Ag2 0.9517 0.0483 0.7500
Cs1 0.7532 0.2468 0.2500
Cs2 0.2468 0.7532 0.7500
Ni1 0.5000 0.5000 0.0000
Ni2 0.5000 0.5000 0.5000
S1 0.4441 0.5560 0.2500
S2 0.5560 0.4441 0.7500
Se1 0.0983 0.9017 0.0166
Se2 0.0983 0.9017 0.4834
Se3 0.9017 0.0983 0.5166
Se4 0.9017 0.0983 0.9834

---

Record 20
VASP calculation (PBE-GGA) on a relaxed CsNiAgSeS2 crystal.

a b c (Å): 8.3617 8.3617 10.3709
angles (deg): 90.00 90.00 155.58
Atoms (fractional coordinates):
Ag1 0.0700 0.9300 0.2500
Ag2 0.9300 0.0700 0.7500
Cs1 0.7585 0.2415 0.2500
Cs2 0.2415 0.7585 0.7500
Ni1 0.5000 0.5000 0.0000
Ni2 0.5000 0.5000 0.5000
S1 0.0901 0.9099 0.0172
S2 0.0901 0.9099 0.4828
S3 0.9099 0.0901 0.5171
S4 0.9099 0.0901 0.9829
Se1 0.4461 0.5539 0.2500
Se2 0.5539 0.4461 0.7500

---

no.,E_tot (eV per atom),theoretical density (g cm⁻³)
1,-3.794,5.87
2,-1.515,3.03
3,-2.818,4.32
4,-2.544,4.49
5,-4.240,5.01
6,-5.079,4.85
7,-4.567,4.40
8,-4.533,4.99
9,-4.547,4.50
10,-4.688,5.77
11,-4.398,5.99
12,-4.279,6.01
13,-4.289,6.11
14,-3.692,4.70
15,-4.282,5.35
16,-3.386,4.84
17,-2.057,4.98
18,-2.186,5.52
19,-3.642,5.23
20,-3.765,4.90